Entry 1:
LaAs | PBE | optimized geometry

Cell: 4.108 11.812 4.632 Å, 90.00 90.00 90.00°
Space group Cmcm (No. 63)
Inequivalent atoms, fractional coordinates:
La (0.000, 0.125, 0.250) x4
As (0.000, 0.380, 0.250) x4

=====

Entry 2:
LaAs8 | PBE | optimized geometry

Cell: 10.647 10.647 3.506 Å, 90.00 90.00 90.00°
Space group I4/mmm (No. 139)
Inequivalent atoms, fractional coordinates:
La (0.000, 0.000, 0.000) x2
As (0.000, 0.290, 0.000) x8
As (0.172, 0.172, 0.500) x8

=====

Entry 3:
La3As | PBE | optimized geometry

Cell: 3.938 3.938 7.938 Å, 90.00 90.00 90.00°
Space group P4/mmm (No. 123)
Inequivalent atoms, fractional coordinates:
La (0.000, 0.000, 0.000) x1
La (0.500, 0.500, 0.303) x2
As (0.000, 0.000, 0.500) x1

For the polymorph energy (0 for the lowest one), the calculation gives 4.0 kJ per mole of atoms.

=====

Entry 4:
La4As | PBE | optimized geometry

Cell: 7.077 7.077 7.077 Å, 90.00 90.00 90.00°
Space group Im-3m (No. 229)
Inequivalent atoms, fractional coordinates:
La (0.250, 0.250, 0.250) x8
As (0.000, 0.000, 0.000) x2

For the polymorph energy (0 for the lowest one), the calculation gives 14.0 kJ per mole of atoms.

=====

Entry 5:
La5As | PBE | optimized geometry

Cell: 6.2964 6.2964 5.9587 Å, 90.00 90.00 120.00°
Space group P6/mmm (No. 191)
Inequivalent atoms, fractional coordinates:
La (0.0000, 0.5000, 0.0000) x3
La (0.3333, 0.6667, 0.5000) x2
As (0.0000, 0.0000, 0.5000) x1

=====

Entry 6:
La2As | PBE | optimized geometry

Cell: 4.1952 4.1952 6.9599 Å, 90.00 90.00 120.00°
Space group P-3m1 (No. 164)
Inequivalent atoms, fractional coordinates:
La (0.3333, 0.6667, 0.2536) x2
As (0.0000, 0.0000, 0.0000) x1

=====

Entry 7:
La3As | PBE | optimized geometry

Cell: 4.045 5.532 5.595 Å, 90.00 99.06 90.00°
Space group P2/m (No. 10)
Inequivalent atoms, fractional coordinates:
La (0.000, 0.000, 0.000) x1
La (0.328, 0.500, 0.716) x2
As (0.500, 0.000, 0.500) x1

For the polymorph energy (0 for the lowest one), the calculation gives 19.4 kJ per mole of atoms.

=====

Entry 8:
La3As | PBE | optimized geometry

Cell: 4.783 4.783 19.956 Å, 90.00 90.00 90.00°
Space group I4/mmm (No. 139)
Inequivalent atoms, fractional coordinates:
La (0.000, 0.000, 0.125) x4
La (0.000, 0.500, 0.000) x4
La (0.000, 0.500, 0.250) x4
As (0.000, 0.000, 0.379) x4

For the polymorph energy (0 for the lowest one), the calculation gives 11.0 kJ per mole of atoms.

=====

Values for formation energy from the elements, eV/atom, ordered as above
-1.402 0.051 -0.609 -0.300 0.378 -0.902 -0.449 -0.536